Record 1
First-principles (PBE-GGA) data for a relaxed Sr4Bi2Cl crystal, as listed in Alexandria via LeMat-Bulk.

Its density is 4895 kg/m³. For the uncorrected formation energy, the calculation gives -98.00 kJ per mole of atoms. The calculated volume is 38.96 Å³ per atom. The size of the total moment is 0.000 μB per formula unit.

The structure belongs to space group I4/mmm (No. 139); the cell edges are 5.521, 5.521 and 17.892 Å and the angles 90.00°, 90.00° and 90.00°. The distinct sites, in fractional coordinates, are Sr at (0.000, 0.000, 0.183), Sr at (0.000, 0.500, 0.000), Bi at (0.000, 0.000, 0.369) and Cl at (0.000, 0.000, 0.000).

Record 2
First-principles (PBE-GGA) data for a relaxed U3Tl3VTe8 crystal, as listed in Alexandria via LeMat-Bulk.

Its density is 7450 kg/m³. For the uncorrected formation energy, the calculation gives -47.42 kJ per mole of atoms. The calculated volume is 35.65 Å³ per atom. The size of the total moment is 10.000 μB per formula unit.

The structure belongs to space group R-3m (No. 166, hexagonal axes); the cell edges are 8.5318, 8.5318 and 25.4490 Å and the angles 90.00°, 90.00° and 120.00°. The distinct sites, in fractional coordinates, are U at (0.0000, 0.5000, 0.0000), Tl at (0.0000, 0.5000, 0.5000), V at (0.0000, 0.0000, 0.0000), Te at (0.0000, 0.0000, 0.2600) and Te at (0.0204, 0.5102, 0.7343).

Record 3
First-principles (PBE-GGA) data for a relaxed PrTmTlCu crystal, as listed in Alexandria via LeMat-Bulk.

Its density is 9335 kg/m³. The calculated volume is 25.69 Å³ per atom. The size of the total moment is 0.006 μB per formula unit. The total energy comes out at -0.3041 Ry per atom.

The structure belongs to space group F-43m (No. 216); the cell edges are 7.436, 7.436 and 7.436 Å and the angles 90.00°, 90.00° and 90.00°. The distinct sites, in fractional coordinates, are Pr at (0.000, 0.000, 0.000), Tm at (0.000, 0.000, 0.500), Tl at (0.250, 0.250, 0.250) and Cu at (0.250, 0.250, 0.750).

Record 4
First-principles (PBE-GGA) data for a relaxed MnCd2Te crystal, as listed in Alexandria via LeMat-Bulk.

Its density is 7404 kg/m³. For the uncorrected formation energy, the calculation gives 14.18 kJ per mole of atoms. The calculated volume is 22.84 Å³ per atom. The size of the total moment is 3.874 μB per formula unit.

The structure belongs to space group P4mm (No. 99); the cell edges are 3.775, 3.775 and 6.411 Å and the angles 90.00°, 90.00° and 90.00°. The distinct sites, in fractional coordinates, are Mn at (0.000, 0.000, 0.000), Cd at (0.000, 0.000, 0.485), Cd at (0.500, 0.500, 0.695) and Te at (0.500, 0.500, 0.147).

Question: size of the total moment of number 4 (MnCd2Te)?
Answer: 3.874 μB per formula unit

Question: Among the records above, which one has the lowest size of the total moment?
Answer: Sr4Bi2Cl

Question: What is the formula in the first record?
Answer: Sr4Bi2Cl